Record 1
Below is a relaxed NbReTcW crystal, with properties calculated at the PBE-GGA level.

The structure in CIF format:
```
data_NbReTcW
_cell_length_a 6.3413
_cell_length_b 6.3413
_cell_length_c 6.3413
_cell_angle_alpha 90.00
_cell_angle_beta 90.00
_cell_angle_gamma 90.00
_symmetry_space_group_name_H-M 'F -4 3 m'
_symmetry_Int_Tables_number 216
_symmetry_space_group_name_Hall 'F -4 2 3'
loop_
_atom_site_label
_atom_site_type_symbol
_atom_site_fract_x
_atom_site_fract_y
_atom_site_fract_z
_atom_site_occupancy
Nb1 Nb 0.0000 0.0000 0.0000 1
Re1 Re 0.2500 0.2500 0.2500 1
Tc1 Tc 0.2500 0.2500 0.7500 1
W1 W 0.0000 0.0000 0.5000 1
```

## Properties
**Density of states at the Fermi level**: 3.162 states/eV/f.u.
**Formation enthalpy at 0 K**: -122 meV per atom
**Magnetization**: 0.0 μB/cell

=====

Record 2
Below is a relaxed TeI2BrO crystal, with properties calculated at the PBE-GGA level.

The structure in CIF format:
```
data_TeI2BrO
_cell_length_a 5.8600
_cell_length_b 5.8600
_cell_length_c 5.5595
_cell_angle_alpha 90.00
_cell_angle_beta 90.00
_cell_angle_gamma 90.00
_symmetry_space_group_name_H-M 'P 4/m m m'
_symmetry_Int_Tables_number 123
_symmetry_space_group_name_Hall '-P 4 2'
loop_
_atom_site_label
_atom_site_type_symbol
_atom_site_fract_x
_atom_site_fract_y
_atom_site_fract_z
_atom_site_occupancy
Te1 Te 0.0000 0.0000 0.0000 1
I1 I 0.0000 0.5000 0.5000 1
Br1 Br 0.0000 0.0000 0.5000 1
O1 O 0.5000 0.5000 0.0000 1
```

## Properties
**Density of states at the Fermi level**: 18.722 states/eV/f.u.
**Magnetization**: 0.0 μB/cell
**Relative energy among the computed polymorphs**: 1269.4 meV/atom
**Uncorrected formation energy**: 1.26 eV per atom

=====

Record 3
Below is a relaxed ZrMoAu2 crystal, with properties calculated at the PBE-GGA level.

The structure in CIF format:
```
data_ZrMoAu2
_cell_length_a 3.9154
_cell_length_b 3.9154
_cell_length_c 20.3439
_cell_angle_alpha 90.00
_cell_angle_beta 90.00
_cell_angle_gamma 90.00
_symmetry_space_group_name_H-M 'I -4 2 d'
_symmetry_Int_Tables_number 122
_symmetry_space_group_name_Hall 'I -4 2bw'
loop_
_atom_site_label
_atom_site_type_symbol
_atom_site_fract_x
_atom_site_fract_y
_atom_site_fract_z
_atom_site_occupancy
Zr1 Zr 0.0000 0.0000 0.0000 1
Mo1 Mo 0.0000 0.0000 0.5000 1
Au1 Au 0.2441 0.2500 0.6250 1
```

## Properties
**Density of states at the Fermi level**: 5.970 states/eV/f.u.
**Formation enthalpy at 0 K**: 338 meV per atom
**Magnetization**: 0.0 μB/cell
**Relative energy among the computed polymorphs**: 471.5 meV/atom

=====

Record 4
Below is a relaxed Ba5Sr4Li crystal, with properties calculated at the PBE-GGA level.

The structure in CIF format:
```
data_Ba5Sr4Li
_cell_length_a 4.4384
_cell_length_b 4.4384
_cell_length_c 28.7144
_cell_angle_alpha 90.00
_cell_angle_beta 90.00
_cell_angle_gamma 90.00
_symmetry_space_group_name_H-M 'P 4/m m m'
_symmetry_Int_Tables_number 123
_symmetry_space_group_name_Hall '-P 4 2'
loop_
_atom_site_label
_atom_site_type_symbol
_atom_site_fract_x
_atom_site_fract_y
_atom_site_fract_z
_atom_site_occupancy
Ba1 Ba 0.0000 0.0000 0.0000 1
Ba2 Ba 0.0000 0.0000 0.2114 1
Ba3 Ba 0.0000 0.0000 0.4258 1
Sr1 Sr 0.5000 0.5000 0.1054 1
Sr2 Sr 0.5000 0.5000 0.3181 1
Li1 Li 0.5000 0.5000 0.5000 1
```

## Properties
**Density of states at the Fermi level**: 12.983 states/eV/f.u.
**Formation enthalpy at 0 K**: 18 meV per atom
**Magnetization**: 0.0 μB/cell
**Relative energy among the computed polymorphs**: 0.0 meV/atom

=====

Record 5
Below is a relaxed In3HBr crystal, with properties calculated at the PBE-GGA level.

The structure in CIF format:
```
data_In3HBr
_cell_length_a 5.0244
_cell_length_b 5.0244
_cell_length_c 5.0244
_cell_angle_alpha 90.00
_cell_angle_beta 90.00
_cell_angle_gamma 90.00
_symmetry_space_group_name_H-M 'P m -3 m'
_symmetry_Int_Tables_number 221
_symmetry_space_group_name_Hall '-P 4 2 3'
loop_
_atom_site_label
_atom_site_type_symbol
_atom_site_fract_x
_atom_site_fract_y
_atom_site_fract_z
_atom_site_occupancy
In1 In 0.0000 0.0000 0.5000 1
H1 H 0.0000 0.0000 0.0000 1
Br1 Br 0.5000 0.5000 0.5000 1
```

## Properties
**Density of states at the Fermi level**: 3.019 states/eV/f.u.
**Magnetization**: 0.0 μB/cell
**Uncorrected energy**: -2.552 eV/atom

=====

Record 6
Below is a relaxed YCr3Ir crystal, with properties calculated at the PBE-GGA level.

The structure in CIF format:
```
data_YCr3Ir
_cell_length_a 4.7374
_cell_length_b 4.7374
_cell_length_c 4.7374
_cell_angle_alpha 90.00
_cell_angle_beta 90.00
_cell_angle_gamma 90.00
_symmetry_space_group_name_H-M 'P m -3 m'
_symmetry_Int_Tables_number 221
_symmetry_space_group_name_Hall '-P 4 2 3'
loop_
_atom_site_label
_atom_site_type_symbol
_atom_site_fract_x
_atom_site_fract_y
_atom_site_fract_z
_atom_site_occupancy
Y1 Y 0.0000 0.0000 0.0000 1
Cr1 Cr 0.0000 0.5000 0.5000 1
Ir1 Ir 0.5000 0.5000 0.5000 1
```

## Properties
**Density of states at the Fermi level**: 5.663 states/eV/f.u.
**Formation enthalpy at 0 K**: 785 meV per atom
**Magnetization**: 8.7 μB/cell
**Relative energy among the computed polymorphs**: 0.0 meV/atom

=====

Record 7
Below is a relaxed Ac2La5Sm crystal, with properties calculated at the PBE-GGA level.

The structure in CIF format:
```
data_Ac2La5Sm
_cell_length_a 7.5403
_cell_length_b 15.0905
_cell_length_c 5.3604
_cell_angle_alpha 90.00
_cell_angle_beta 90.00
_cell_angle_gamma 90.00
_symmetry_space_group_name_H-M 'P b a m'
_symmetry_Int_Tables_number 55
_symmetry_space_group_name_Hall '-P 2 2ab'
loop_
_atom_site_label
_atom_site_type_symbol
_atom_site_fract_x
_atom_site_fract_y
_atom_site_fract_z
_atom_site_occupancy
Ac1 Ac 0.2478 0.1243 0.0000 1
La1 La 0.0000 0.5000 0.5000 1
La2 La 0.0026 0.7511 0.5000 1
La3 La 0.2474 0.3749 0.0000 1
Sm1 Sm 0.0000 0.0000 0.5000 1
```

## Properties
**Density of states at the Fermi level**: 14.548 states/eV/f.u.
**Formation enthalpy at 0 K**: 17 meV per atom
**Magnetization**: 0.0 μB/cell

=====

Record 8
Below is a relaxed GaGe2BIr crystal, with properties calculated at the PBE-GGA level.

The structure in CIF format:
```
data_GaGe2BIr
_cell_length_a 4.4929
_cell_length_b 4.4929
_cell_length_c 4.1322
_cell_angle_alpha 90.00
_cell_angle_beta 90.00
_cell_angle_gamma 90.00
_symmetry_space_group_name_H-M 'P 4/m m m'
_symmetry_Int_Tables_number 123
_symmetry_space_group_name_Hall '-P 4 2'
loop_
_atom_site_label
_atom_site_type_symbol
_atom_site_fract_x
_atom_site_fract_y
_atom_site_fract_z
_atom_site_occupancy
Ga1 Ga 0.0000 0.0000 0.0000 1
Ge1 Ge 0.0000 0.5000 0.5000 1
B1 B 0.5000 0.5000 0.5000 1
Ir1 Ir 0.5000 0.5000 0.0000 1
```

## Properties
**Density of states at the Fermi level**: 4.172 states/eV/f.u.
**Formation enthalpy at 0 K**: 500 meV per atom
**Magnetization**: 0.0 μB/cell
**Relative energy among the computed polymorphs**: 0.0 meV/atom

=====

Record 9
Below is a relaxed TaGaN2O crystal, with properties calculated at the PBE-GGA level.

The structure in CIF format:
```
data_TaGaN2O
_cell_length_a 4.1297
_cell_length_b 4.1297
_cell_length_c 3.9219
_cell_angle_alpha 90.00
_cell_angle_beta 90.00
_cell_angle_gamma 90.00
_symmetry_space_group_name_H-M 'P 4/m m m'
_symmetry_Int_Tables_number 123
_symmetry_space_group_name_Hall '-P 4 2'
loop_
_atom_site_label
_atom_site_type_symbol
_atom_site_fract_x
_atom_site_fract_y
_atom_site_fract_z
_atom_site_occupancy
Ta1 Ta 0.0000 0.0000 0.0000 1
Ga1 Ga 0.5000 0.5000 0.5000 1
N1 N 0.0000 0.5000 0.0000 1
O1 O 0.0000 0.0000 0.5000 1
```

## Properties
**Density of states at the Fermi level**: 1.394 states/eV/f.u.
**Magnetization**: 0.0 μB/cell
**Uncorrected formation energy**: -0.40 eV per atom

=====

Record 10
Below is a relaxed BaSnHgPb crystal, with properties calculated at the PBE-GGA level.

The structure in CIF format:
```
data_BaSnHgPb
_cell_length_a 8.1021
_cell_length_b 8.1021
_cell_length_c 8.1021
_cell_angle_alpha 90.00
_cell_angle_beta 90.00
_cell_angle_gamma 90.00
_symmetry_space_group_name_H-M 'F -4 3 m'
_symmetry_Int_Tables_number 216
_symmetry_space_group_name_Hall 'F -4 2 3'
loop_
_atom_site_label
_atom_site_type_symbol
_atom_site_fract_x
_atom_site_fract_y
_atom_site_fract_z
_atom_site_occupancy
Ba1 Ba 0.0000 0.0000 0.0000 1
Sn1 Sn 0.2500 0.2500 0.7500 1
Hg1 Hg 0.2500 0.2500 0.2500 1
Pb1 Pb 0.0000 0.0000 0.5000 1
```

## Properties
**Density of states at the Fermi level**: 1.471 states/eV/f.u.
**Formation enthalpy at 0 K**: -362 meV per atom
**Magnetization**: 0.0 μB/cell
**Relative energy among the computed polymorphs**: 0.0 meV/atom

=====

Record 11
Below is a relaxed Ta2Co2Ag crystal, with properties calculated at the PBE-GGA level.

The structure in CIF format:
```
data_Ta2Co2Ag
_cell_length_a 7.0977
_cell_length_b 7.0977
_cell_length_c 2.9649
_cell_angle_alpha 90.00
_cell_angle_beta 90.00
_cell_angle_gamma 90.00
_symmetry_space_group_name_H-M 'P 4/m b m'
_symmetry_Int_Tables_number 127
_symmetry_space_group_name_Hall '-P 4 2ab'
loop_
_atom_site_label
_atom_site_type_symbol
_atom_site_fract_x
_atom_site_fract_y
_atom_site_fract_z
_atom_site_occupancy
Ta1 Ta 0.1642 0.3358 0.0000 1
Co1 Co 0.1302 0.6302 0.5000 1
Ag1 Ag 0.0000 0.0000 0.5000 1
```

## Properties
**Density of states at the Fermi level**: 3.781 states/eV/f.u.
**Formation enthalpy at 0 K**: -53 meV per atom
**Magnetization**: 0.0 μB/cell
**Relative energy among the computed polymorphs**: 0.0 meV/atom

=====

Record 12
Below is a relaxed HgRu2Cl crystal, with properties calculated at the PBE-GGA level.

The structure in CIF format:
```
data_HgRu2Cl
_cell_length_a 2.9068
_cell_length_b 2.9068
_cell_length_c 8.6702
_cell_angle_alpha 90.00
_cell_angle_beta 90.00
_cell_angle_gamma 90.00
_symmetry_space_group_name_H-M 'P 4 m m'
_symmetry_Int_Tables_number 99
_symmetry_space_group_name_Hall 'P 4 -2'
loop_
_atom_site_label
_atom_site_type_symbol
_atom_site_fract_x
_atom_site_fract_y
_atom_site_fract_z
_atom_site_occupancy
Hg1 Hg 0.0000 0.0000 0.0000 1
Ru1 Ru 0.0000 0.0000 0.4286 1
Ru2 Ru 0.5000 0.5000 0.2443 1
Cl1 Cl 0.5000 0.5000 0.6266 1
```

## Properties
**Density of states at the Fermi level**: 2.847 states/eV/f.u.
**Magnetization**: 0.0 μB/cell
**Relative energy among the computed polymorphs**: 48.9 meV/atom
**Uncorrected formation energy**: 0.26 eV per atom

=====

Look up the magnetization of the twelfth one. 0.0 μB/cell